This record from Alexandria via LeMat-Bulk describes an optimized crystal structure of Na4Tl5Au2. The functional is PBE.

Geometry as CIF:
```
data_Na4Tl5Au2
_symmetry_space_group_name_H-M 'P 1 2/m 1'
_symmetry_Int_Tables_number 10
_cell_length_a 8.284
_cell_length_b 3.552
_cell_length_c 10.008
_cell_angle_alpha 90.00
_cell_angle_beta 90.91
_cell_angle_gamma 90.00
loop_
_symmetry_equiv_pos_as_xyz
'x,y,z'
'-x,-y,-z'
'-x,y,-z'
'x,-y,z'
loop_
_atom_site_label
_atom_site_fract_x
_atom_site_fract_y
_atom_site_fract_z
_atom_site_occupancy
Na1 0.195 0.000 0.354 1
Na2 0.220 0.000 0.918 1
Tl1 0.146 0.500 0.634 1
Tl2 0.438 0.500 0.156 1
Tl3 0.500 0.500 0.500 1
Au1 0.076 0.500 0.132 1
```


This record from Alexandria via LeMat-Bulk describes an optimized crystal structure of Na3Tl2Au2. The functional is PBE.

Geometry as CIF:
```
data_Na3Tl2Au2
_symmetry_space_group_name_H-M 'I m m m'
_symmetry_Int_Tables_number 71
_symmetry_space_group_name_Hall '-I 2 2'
_cell_length_a 3.549
_cell_length_b 4.859
_cell_length_c 20.915
_cell_angle_alpha 90.00
_cell_angle_beta 90.00
_cell_angle_gamma 90.00
loop_
_atom_site_label
_atom_site_fract_x
_atom_site_fract_y
_atom_site_fract_z
_atom_site_occupancy
Na1 0.000 0.000 0.000 1
Na2 0.000 0.500 0.205 1
Tl1 0.000 0.000 0.425 1
Au1 0.000 0.500 0.351 1
```


no.,size of the total moment (Bohr magnetons per cell),energy (eV/atom)
1,0.000,-2.29
2,0.000,-2.36